(1)
# Ac2ScZn GGA-PBE relaxed
data_Ac2ScZn
_cell_length_a 3.928
_cell_length_b 3.928
_cell_length_c 8.385
_cell_angle_alpha 90.00
_cell_angle_beta 90.00
_cell_angle_gamma 90.00
_space_group_name_H-M_alt 'P 4/m m m'
_space_group_IT_number 123
_space_group_name_Hall '-P 4 2'
loop_
_atom_site_label
_atom_site_type_symbol
_atom_site_fract_x
_atom_site_fract_y
_atom_site_fract_z
Ac1 Ac 0.000 0.000 0.230
Sc1 Sc 0.500 0.500 0.500
Zn1 Zn 0.500 0.500 0.000
# Excess energy over the best structure of this formula in the dataset in kJ/mol of formula units: 0
# Crystal system: tetragonal
# E in eV for the cell shown: -16.00



(2)
# BaMgHg2Bi GGA-PBE relaxed
data_BaMgHg2Bi
_cell_length_a 5.441
_cell_length_b 5.441
_cell_length_c 5.749
_cell_angle_alpha 90.00
_cell_angle_beta 90.00
_cell_angle_gamma 90.00
_space_group_name_H-M_alt 'P 4/m m m'
_space_group_IT_number 123
_space_group_name_Hall '-P 4 2'
loop_
_atom_site_label
_atom_site_type_symbol
_atom_site_fract_x
_atom_site_fract_y
_atom_site_fract_z
Ba1 Ba 0.000 0.000 0.000
Mg1 Mg 0.500 0.500 0.500
Hg1 Hg 0.000 0.500 0.500
Bi1 Bi 0.500 0.500 0.000
# Crystal system: tetragonal
# E in eV for the cell shown: -9.71



(3)
# CsGa2Au2 GGA-PBE relaxed
data_CsGa2Au2
_cell_length_a 7.634
_cell_length_b 12.993
_cell_length_c 6.922
_cell_angle_alpha 90.00
_cell_angle_beta 123.22
_cell_angle_gamma 90.00
_space_group_name_H-M_alt 'C 1 2/c 1'
_space_group_IT_number 15
loop_
_space_group_symop_operation_xyz
'x,y,z'
'-x,-y,-z'
'-x,y,-z+1/2'
'x,-y,z+1/2'
'x+1/2,y+1/2,z'
'-x+1/2,-y+1/2,-z'
'-x+1/2,y+1/2,-z+1/2'
'x+1/2,-y+1/2,z+1/2'
loop_
_atom_site_label
_atom_site_type_symbol
_atom_site_fract_x
_atom_site_fract_y
_atom_site_fract_z
Cs1 Cs 0.000 0.125 0.250
Ga1 Ga 0.131 0.375 0.010
Au1 Au 0.000 0.206 0.750
Au2 Au 0.000 0.456 0.250
# Excess energy over the best structure of this formula in the dataset in kJ/mol of formula units: 0
# Crystal system: monoclinic
# E in eV for the cell shown: -59.52



(4)
# CaPdC GGA-PBE relaxed
data_CaPdC
_cell_length_a 3.714
_cell_length_b 3.711
_cell_length_c 8.119
_cell_angle_alpha 90.00
_cell_angle_beta 90.98
_cell_angle_gamma 90.00
_space_group_name_H-M_alt 'P 1 2/m 1'
_space_group_IT_number 10
loop_
_space_group_symop_operation_xyz
'x,y,z'
'-x,-y,-z'
'-x,y,-z'
'x,-y,z'
loop_
_atom_site_label
_atom_site_type_symbol
_atom_site_fract_x
_atom_site_fract_y
_atom_site_fract_z
Ca1 Ca 0.000 0.000 0.000
Ca2 Ca 0.000 0.000 0.500
Pd1 Pd 0.495 0.500 0.326
C1 C 0.497 0.500 0.079
# Excess energy over the best structure of this formula in the dataset in kJ/mol of formula units: 0
# Crystal system: monoclinic
# E in eV for the cell shown: -34.54



(5)
# Be2CuIrBr GGA-PBE relaxed
data_Be2CuIrBr
_cell_length_a 4.134
_cell_length_b 4.134
_cell_length_c 4.802
_cell_angle_alpha 90.00
_cell_angle_beta 90.00
_cell_angle_gamma 90.00
_space_group_name_H-M_alt 'P 4/m m m'
_space_group_IT_number 123
_space_group_name_Hall '-P 4 2'
loop_
_atom_site_label
_atom_site_type_symbol
_atom_site_fract_x
_atom_site_fract_y
_atom_site_fract_z
Be1 Be 0.000 0.500 0.000
Cu1 Cu 0.000 0.000 0.500
Ir1 Ir 0.500 0.500 0.500
Br1 Br 0.500 0.500 0.000
# Raw formation energy in meV per atom: 1579
# Crystal system: tetragonal
# E in eV for the cell shown: -14.19



(6)
# ZnReOs4 GGA-PBE relaxed
data_ZnReOs4
_cell_length_a 7.222
_cell_length_b 7.222
_cell_length_c 7.222
_cell_angle_alpha 90.00
_cell_angle_beta 90.00
_cell_angle_gamma 90.00
_space_group_name_H-M_alt 'F -4 3 m'
_space_group_IT_number 216
_space_group_name_Hall 'F -4 2 3'
loop_
_atom_site_label
_atom_site_type_symbol
_atom_site_fract_x
_atom_site_fract_y
_atom_site_fract_z
Zn1 Zn 0.000 0.000 0.000
Re1 Re 0.250 0.250 0.250
Os1 Os 0.125 0.125 0.625
# Crystal system: cubic
# E in eV for the cell shown: -216.14



(7)
# Y8CdAg2 GGA-PBE relaxed
data_Y8CdAg2
_cell_length_a 16.123
_cell_length_b 5.317
_cell_length_c 8.402
_cell_angle_alpha 90.00
_cell_angle_beta 120.06
_cell_angle_gamma 90.00
_space_group_name_H-M_alt 'C 1 2/m 1'
_space_group_IT_number 12
loop_
_space_group_symop_operation_xyz
'x,y,z'
'-x,-y,-z'
'-x,y,-z'
'x,-y,z'
'x+1/2,y+1/2,z'
'-x+1/2,-y+1/2,-z'
'-x+1/2,y+1/2,-z'
'x+1/2,-y+1/2,z'
loop_
_atom_site_label
_atom_site_type_symbol
_atom_site_fract_x
_atom_site_fract_y
_atom_site_fract_z
Y1 Y 0.067 0.000 0.222
Y2 Y 0.100 0.500 0.960
Y3 Y 0.143 0.000 0.697
Y4 Y 0.184 0.500 0.460
Cd1 Cd 0.000 0.500 0.500
Ag1 Ag 0.223 0.000 0.120
# Crystal system: monoclinic
# E in eV for the cell shown: -119.72



(8)
# Zr2AgAu GGA-PBE relaxed
data_Zr2AgAu
_cell_length_a 4.331
_cell_length_b 4.331
_cell_length_c 8.482
_cell_angle_alpha 90.00
_cell_angle_beta 90.00
_cell_angle_gamma 90.00
_space_group_name_H-M_alt 'I 4/m m m'
_space_group_IT_number 139
_space_group_name_Hall '-I 4 2'
loop_
_atom_site_label
_atom_site_type_symbol
_atom_site_fract_x
_atom_site_fract_y
_atom_site_fract_z
Zr1 Zr 0.000 0.500 0.250
Ag1 Ag 0.000 0.000 0.000
Au1 Au 0.000 0.000 0.500
# Crystal system: tetragonal
# E in eV for the cell shown: -48.46